Computed, not measured: crystalline PmTaGa2O8 at its relaxed geometry at the PBE-GGA level of DFT.

- energy relative to the elements, uncorrected (meV per atom) = -2055
- space group = I-4m2 (119)

Unit cell a=5.879 b=5.879 c=5.879 alpha=107.84 beta=107.84 gamma=112.78
Positions (direct):
O 0.363 0.032 0.332
O 0.316 0.522 0.206
O 0.316 0.110 0.794
O 0.968 0.300 0.332
O 0.890 0.684 0.206
O 0.478 0.684 0.794
O 0.968 0.637 0.668
O 0.700 0.032 0.668
Ga 0.750 0.250 0.500
Ga 0.500 0.500 0.000
Ta 0.250 0.750 0.500
Pm 0.000 0.000 0.000

***

Computed, not measured: crystalline PmTaGaO6 at its relaxed geometry at the PBE-GGA level of DFT.

- energy relative to the elements, uncorrected (meV per atom) = -2468
- space group = P-31c (163)

Unit cell a=5.261 b=5.261 c=10.107 alpha=90.00 beta=90.00 gamma=120.00
Positions (direct):
O 0.001 0.637 0.359
O 0.635 0.637 0.141
O 0.365 0.363 0.859
O 0.999 0.635 0.859
O 0.637 0.635 0.641
O 0.001 0.365 0.141
O 0.637 0.001 0.859
O 0.365 0.001 0.641
O 0.635 0.999 0.359
O 0.363 0.365 0.359
O 0.999 0.363 0.641
O 0.363 0.999 0.141
Pm 0.000 0.000 0.500
Pm 0.000 0.000 0.000
Ta 0.333 0.667 0.250
Ta 0.667 0.333 0.750
Ga 0.333 0.667 0.750
Ga 0.667 0.333 0.250

***

Computed, not measured: crystalline TbPm2GaO at its relaxed geometry at the PBE-GGA level of DFT.

- energy relative to the elements, uncorrected (meV per atom) = -1395
- space group = P4/mmm (123)

Unit cell a=4.713 b=4.877 c=4.877 alpha=90.00 beta=90.00 gamma=90.00
Positions (direct):
Ga 0.500 0.500 0.500
Pm 0.000 0.000 0.500
Pm 0.000 0.500 0.000
O 0.000 0.000 0.000
Tb 0.500 0.000 0.000

***

Computed, not measured: crystalline Pm4TlGaO at its relaxed geometry at the PBE-GGA level of DFT.

- energy relative to the elements, uncorrected (meV per atom) = -1061
- space group = Cmcm (63)

Unit cell a=6.686 b=6.698 c=9.002 alpha=90.00 beta=111.80 gamma=90.00
Positions (direct):
Pm 0.500 0.500 0.500
Pm 0.437 0.750 0.874
Pm 0.563 0.250 0.126
Pm 0.081 0.750 0.162
Pm 0.919 0.250 0.838
Pm 0.000 0.000 0.500
Pm 0.000 0.500 0.500
Pm 0.500 0.000 0.500
Ga 0.618 0.750 0.237
Ga 0.382 0.250 0.763
O 0.768 0.250 0.537
O 0.232 0.750 0.463
Tl 0.891 0.750 0.783
Tl 0.109 0.250 0.217